1.
Entry from Alexandria via LeMat-Bulk: a relaxed structure of Zn2CuCl (PBE).

Lattice parameters (Å, degrees): 3.5857 3.5857 11.2972 90.00 90.00 90.00
Space group I4/mmm (No. 139)
Inequivalent atoms, fractional coordinates:
Zn1 0.0000 0.5000 0.2500 x4
Cu1 0.0000 0.0000 0.0000 x2
Cl1 0.0000 0.0000 0.5000 x2

Output
Relative energy among the computed polymorphs (meV/atom): 226
Formation energy without anion corrections (eV/atom): 0.12
E_tot (eV per cell): -16.002

2.
Entry from Alexandria via LeMat-Bulk: a relaxed structure of Nb2VCu (PBE).

Lattice parameters (Å, degrees): 6.3084 6.3084 6.3084 90.00 90.00 90.00
Space group Fm-3m (No. 225)
Inequivalent atoms, fractional coordinates:
Nb1 0.2500 0.2500 0.2500 x8
V1 0.0000 0.0000 0.0000 x4
Cu1 0.0000 0.0000 0.5000 x4

Output
Relative energy among the computed polymorphs (meV/atom): 81
E_tot (eV per cell): -131.057

One value per record, in order, for spin magnetization: 0.000, 0.005 μB/cell.